No. 1
# Rb2TiAgBr | Alexandria via LeMat-Bulk | PBE | relaxed
# ΔE_f (raw): 0.276 eV per atom
data_Rb2TiAgBr
_cell_length_a 7.016
_cell_length_b 7.016
_cell_length_c 4.948
_cell_angle_alpha 90.00
_cell_angle_beta 90.00
_cell_angle_gamma 90.00
_space_group_name_H-M_alt 'P 4/m m m'
_space_group_IT_number 123
_space_group_name_Hall '-P 4 2'
loop_
_atom_site_label
_atom_site_type_symbol
_atom_site_fract_x
_atom_site_fract_y
_atom_site_fract_z
Rb1 Rb 0.000 0.500 0.000
Ti1 Ti 0.000 0.000 0.000
Ag1 Ag 0.500 0.500 0.500
Br1 Br 0.000 0.000 0.500

=====

No. 2
# Rb3TlAg2Br9 | Alexandria via LeMat-Bulk | PBE | relaxed
# ΔE_f (raw): -0.930 eV per atom
data_Rb3TlAg2Br9
_cell_length_a 7.8363
_cell_length_b 7.8363
_cell_length_c 9.6716
_cell_angle_alpha 90.00
_cell_angle_beta 90.00
_cell_angle_gamma 120.00
_space_group_name_H-M_alt 'P -3 m 1'
_space_group_IT_number 164
_space_group_name_Hall '-P 3 2"'
loop_
_atom_site_label
_atom_site_type_symbol
_atom_site_fract_x
_atom_site_fract_y
_atom_site_fract_z
Rb1 Rb 0.0000 0.0000 0.0000
Rb2 Rb 0.3333 0.6667 0.6829
Tl1 Tl 0.0000 0.0000 0.5000
Ag1 Ag 0.3333 0.6667 0.1583
Br1 Br 0.0000 0.5000 0.0000
Br2 Br 0.1694 0.3388 0.3294

=====

No. 3
# Rb3Tl2AgBr6 | Alexandria via LeMat-Bulk | PBE | relaxed
# ΔE_f (raw): -1.186 eV per atom
data_Rb3Tl2AgBr6
_cell_length_a 8.287
_cell_length_b 14.646
_cell_length_c 8.127
_cell_angle_alpha 90.00
_cell_angle_beta 109.31
_cell_angle_gamma 90.00
_space_group_name_H-M_alt 'C 1 2/m 1'
_space_group_IT_number 12
loop_
_space_group_symop_operation_xyz
'x,y,z'
'-x,-y,-z'
'-x,y,-z'
'x,-y,z'
'x+1/2,y+1/2,z'
'-x+1/2,-y+1/2,-z'
'-x+1/2,y+1/2,-z'
'x+1/2,-y+1/2,z'
loop_
_atom_site_label
_atom_site_type_symbol
_atom_site_fract_x
_atom_site_fract_y
_atom_site_fract_z
Rb1 Rb 0.000 0.000 0.000
Rb2 Rb 0.000 0.334 0.000
Tl1 Tl 0.000 0.173 0.500
Ag1 Ag 0.000 0.500 0.500
Br1 Br 0.206 0.500 0.304
Br2 Br 0.248 0.336 0.744

=====

no.,spin magnetization (μB per formula unit)
1,3.4
2,0.0
3,0.0